1.
An optimized crystal structure of Ca2AlIn. Source: the Alexandria database, functional PBE-GGA.

Cell and atoms, written as POSCAR:
```
Ca2AlIn
1.0
7.5713 0.0000 0.0000
0.0000 7.5713 0.0000
0.0000 0.0000 7.5713
Ca Al In
8 4 4
direct
0.2500 0.2500 0.2500
0.2500 0.2500 0.7500
0.2500 0.7500 0.2500
0.2500 0.7500 0.7500
0.7500 0.2500 0.2500
0.7500 0.2500 0.7500
0.7500 0.7500 0.2500
0.7500 0.7500 0.7500
0.0000 0.0000 0.0000
0.0000 0.5000 0.5000
0.5000 0.0000 0.5000
0.5000 0.5000 0.0000
0.0000 0.0000 0.5000
0.0000 0.5000 0.0000
0.5000 0.0000 0.0000
0.5000 0.5000 0.5000
```

Calculated values
**Polymorph energy (0 for the lowest one)**: 3 meV/atom
**Density of states at the Fermi level**: 6.01 states/eV per cell
**Raw total energy**: -2.943 eV/atom



2.
An optimized crystal structure of DyZnAs. Source: the Alexandria database, functional PBE-GGA.

Cell and atoms, written as POSCAR:
```
DyZnAs
1.0
4.0188 0.0000 0.0000
0.0000 4.0188 0.0000
0.0000 0.0000 8.1995
Dy Zn As
2 2 2
direct
0.2500 0.2500 0.1700
0.7500 0.7500 0.8300
0.2500 0.7500 0.5000
0.7500 0.2500 0.5000
0.2500 0.2500 0.8160
0.7500 0.7500 0.1840
```

Calculated values
**Density of states at the Fermi level**: 1.27 states/eV per cell
**Raw total energy**: -4.302 eV/atom